Record 1
Density functional theory data (GGA-PBE) for a relaxed BeZn2Cu crystal.

Unit cell a=4.4236 b=4.4236 c=4.4236 alpha=130.66 beta=130.66 gamma=72.36
Closest atoms and distances in Å follow each position.
Atoms (fractional coordinates):
Be  0.0000  0.0000  0.0000  4 Cu 2.57, 8 Zn 2.57-2.61
Zn  0.5000  0.5000  0.0000  4 Cu 2.57, 4 Zn 2.57, 4 Be 2.61
Zn  0.7500  0.2500  0.5000  4 Be 2.57, 4 Zn 2.57, 4 Cu 2.61
Cu  0.2500  0.7500  0.5000  4 Be 2.57, 8 Zn 2.57-2.61

Properties
- total magnetization (Bohr magnetons per cell) = 0.0
- electronic total energy (Ha/atom) = -0.093

Record 2
Density functional theory data (GGA-PBE) for a relaxed Be2ZnCu8 crystal.

Unit cell a=6.4378 b=6.4378 c=5.8603 alpha=110.95 beta=110.95 gamma=33.86
Closest atoms and distances in Å follow each position.
Atoms (fractional coordinates):
Be  0.2220  0.2220  0.1462  8 Cu 2.32-2.46
Be  0.7780  0.7780  0.8538  8 Cu 2.32-2.46
Zn  0.5000  0.5000  0.5000  12 Cu 2.45-2.67
Cu  0.0471  0.0471  0.2266  1 Be 2.37, 6 Cu 2.47-2.60
Cu  0.1528  0.1528  0.7195  3 Be 2.32-2.37, 4 Cu 2.47-2.60
Cu  0.3163  0.3163  0.5725  1 Be 2.33, 6 Cu 2.42-2.50, 1 Zn 2.45
Cu  0.3944  0.3944  0.0307  3 Be 2.35-2.46, 5 Cu 2.49-2.60, 1 Zn 2.57
Cu  0.6056  0.6056  0.9693  3 Be 2.35-2.46, 5 Cu 2.49-2.60, 1 Zn 2.57
Cu  0.6837  0.6837  0.4275  1 Be 2.33, 6 Cu 2.42-2.50, 1 Zn 2.45
Cu  0.8472  0.8472  0.2805  3 Be 2.32-2.37, 4 Cu 2.47-2.60
Cu  0.9529  0.9529  0.7734  1 Be 2.37, 6 Cu 2.47-2.60

Properties
- total magnetization (Bohr magnetons per cell) = 0.0
- electronic total energy (Ha/atom) = -0.140

Record 3
Density functional theory data (GGA-PBE) for a relaxed Be5ZnCu4 crystal.

Unit cell a=2.7342 b=2.7342 c=13.4544 alpha=90.00 beta=90.00 gamma=90.00
Closest atoms and distances in Å follow each position.
Atoms (fractional coordinates):
Be  0.0000  0.0000  0.0000  8 Cu 2.33
Be  0.0000  0.0000  0.1946  8 Cu 2.34, 2 Be 2.56-2.62
Be  0.0000  0.0000  0.3852  4 Cu 2.30, 4 Zn 2.47, 1 Be 2.56
Be  0.0000  0.0000  0.6148  4 Cu 2.30, 4 Zn 2.47, 1 Be 2.56
Be  0.0000  0.0000  0.8054  8 Cu 2.34, 2 Be 2.56-2.62
Zn  0.5000  0.5000  0.5000  8 Be 2.47, 4 Zn 2.73
Cu  0.5000  0.5000  0.0969  8 Be 2.33-2.34, 1 Cu 2.61
Cu  0.5000  0.5000  0.2929  8 Be 2.30-2.34
Cu  0.5000  0.5000  0.7071  8 Be 2.30-2.34
Cu  0.5000  0.5000  0.9031  8 Be 2.33-2.34, 1 Cu 2.61

Properties
- total magnetization (Bohr magnetons per cell) = 0.0
- electronic total energy (Ha/atom) = -0.136

Record 4
Density functional theory data (GGA-PBE) for a relaxed BeZn2Cu crystal.

Unit cell a=4.5998 b=4.5998 c=2.5579 alpha=94.81 beta=94.81 gamma=113.13
Closest atoms and distances in Å follow each position.
Atoms (fractional coordinates):
Be  0.0000  0.0000  0.0000  2 Cu 2.53, 8 Zn 2.54-2.72, 2 Be 2.56
Zn  0.0000  0.5000  0.5000  4 Zn 2.53-2.56, 4 Be 2.54-2.72, 4 Cu 2.54-2.72
Zn  0.5000  0.0000  0.5000  4 Zn 2.53-2.56, 4 Be 2.54-2.72, 4 Cu 2.54-2.72
Cu  0.5000  0.5000  0.0000  2 Be 2.53, 8 Zn 2.54-2.72, 2 Cu 2.56

Properties
- total magnetization (Bohr magnetons per cell) = 0.0
- electronic total energy (Ha/atom) = -0.093

Record 5
Density functional theory data (GGA-PBE) for a relaxed BeZnCu3 crystal.

Unit cell a=4.0284 b=4.0284 c=4.0284 alpha=90.00 beta=90.00 gamma=90.00
Closest atoms and distances in Å follow each position.
Atoms (fractional coordinates):
Be  0.0000  0.0000  0.0000  6 Cu 2.01
Zn  0.5000  0.5000  0.5000  12 Cu 2.85
Cu  0.0000  0.0000  0.5000  2 Be 2.01
Cu  0.0000  0.5000  0.0000  2 Be 2.01
Cu  0.5000  0.0000  0.0000  2 Be 2.01

Properties
- total magnetization (Bohr magnetons per cell) = 0.0
- electronic total energy (Ha/atom) = -0.114

Record 6
Density functional theory data (GGA-PBE) for a relaxed BeZn6Cu12 crystal.

Unit cell a=6.2315 b=6.2315 c=6.2315 alpha=90.91 beta=90.91 gamma=90.91
Closest atoms and distances in Å follow each position.
Atoms (fractional coordinates):
Be  0.0000  0.0000  0.0000  6 Cu 2.44, 6 Zn 2.51
Zn  0.1126  0.2767  0.7344  9 Cu 2.47-2.73, 1 Be 2.51, 2 Zn 2.62
Zn  0.2656  0.8874  0.7233  9 Cu 2.47-2.73, 1 Be 2.51, 2 Zn 2.62
Zn  0.2767  0.7344  0.1126  9 Cu 2.47-2.73, 1 Be 2.51, 2 Zn 2.62
Zn  0.7233  0.2656  0.8874  9 Cu 2.47-2.73, 1 Be 2.51, 2 Zn 2.62
Zn  0.7344  0.1126  0.2767  9 Cu 2.47-2.73, 1 Be 2.51, 2 Zn 2.62
Zn  0.8874  0.7233  0.2656  9 Cu 2.47-2.73, 1 Be 2.51, 2 Zn 2.62
Cu  0.0417  0.3637  0.1494  1 Be 2.44, 4 Cu 2.49-2.59, 5 Zn 2.55-2.73
Cu  0.1494  0.0417  0.3637  1 Be 2.44, 4 Cu 2.49-2.59, 5 Zn 2.55-2.73
Cu  0.2058  0.5523  0.4692  4 Zn 2.47-2.62, 4 Cu 2.49-2.67
Cu  0.3637  0.1494  0.0417  1 Be 2.44, 4 Cu 2.49-2.59, 5 Zn 2.55-2.73
Cu  0.4477  0.5308  0.7942  4 Zn 2.47-2.62, 4 Cu 2.49-2.67
Cu  0.4692  0.2058  0.5523  4 Zn 2.47-2.62, 4 Cu 2.49-2.67
Cu  0.5308  0.7942  0.4477  4 Zn 2.47-2.62, 4 Cu 2.49-2.67
Cu  0.5523  0.4692  0.2058  4 Zn 2.47-2.62, 4 Cu 2.49-2.67
Cu  0.6363  0.8506  0.9583  1 Be 2.44, 4 Cu 2.49-2.59, 5 Zn 2.55-2.73
Cu  0.7942  0.4477  0.5308  4 Zn 2.47-2.62, 4 Cu 2.49-2.67
Cu  0.8506  0.9583  0.6363  1 Be 2.44, 4 Cu 2.49-2.59, 5 Zn 2.55-2.73
Cu  0.9583  0.6363  0.8506  1 Be 2.44, 4 Cu 2.49-2.59, 5 Zn 2.55-2.73

Properties
- total magnetization (Bohr magnetons per cell) = 0.0
- electronic total energy (Ha/atom) = -0.117